(1)
DFT (PBE-GGA) results for crystalline BaNaAu at its relaxed geometry.

Cell lengths 4.5157, 5.0751, 5.0751 Å; angles 120.00, 90.00, 90.00 degrees
Closest atoms and distances in Å follow each position.
Sites, in units of the cell vectors:
Au 0.1648 0.0000 0.0000  3 Na 2.93
Ba 0.6673 0.6667 0.3333  6 Au 3.69-3.71, 6 Na 3.70
Na 0.1678 0.3333 0.6667  3 Au 2.93

Values from the calculation:
Symmetry = P3m1, No. 156
Total magnetization = 0.000 μB/atom
ΔE to the lowest computed polymorph = 70 meV per atom
DFT formation energy = -0.40 eV/atom

***

(2)
DFT (PBE-GGA) results for crystalline Ga2ReAgH at its relaxed geometry.

Cell lengths 4.3737, 3.5037, 4.3737 Å; angles 90.00, 90.00, 90.00 degrees
Closest atoms and distances in Å follow each position.
Sites, in units of the cell vectors:
H 0.0000 0.0000 0.0000  2 Re 1.75
Ga 0.5000 0.0000 0.0000  2 H 2.19
Ga 0.0000 0.0000 0.5000  2 H 2.19
Ag 0.5000 0.5000 0.5000  8 Ga 2.80, 4 Re 3.09
Re 0.0000 0.5000 0.0000  2 H 1.75

Values from the calculation:
Symmetry = P4/mmm, No. 123
DFT total energy = -4.559 eV/atom
Total magnetization = 0.000 μB/atom

***

(3)
DFT (PBE-GGA) results for crystalline PmNbPt at its relaxed geometry.

Cell lengths 3.3817, 7.6785, 5.2704 Å; angles 96.52, 90.00, 102.72 degrees
Closest atoms and distances in Å follow each position.
Sites, in units of the cell vectors:
Pt 0.0826 0.1653 0.3424  2 Nb 2.71, 2 Pm 2.98
Pt 0.9174 0.8347 0.6576  2 Nb 2.71, 2 Pm 2.98
Pm 0.5871 0.1742 0.8085  6 Pt 2.98-3.29, 1 Nb 3.11
Pm 0.4129 0.8258 0.1915  6 Pt 2.98-3.29, 1 Nb 3.11
Nb 0.2784 0.5568 0.6947  2 Pt 2.71, 2 Nb 2.72
Nb 0.7216 0.4432 0.3053  2 Pt 2.71, 2 Nb 2.72

Values from the calculation:
Symmetry = C2/m, No. 12
Total magnetization = 0.000 μB/atom
DFT formation energy = -0.41 eV/atom

***

What did the third record say?
DFT (PBE-GGA) results for crystalline PmNbPt at its relaxed geometry.

Cell lengths 3.3817, 7.6785, 5.2704 Å; angles 96.52, 90.00, 102.72 degrees
Closest atoms and distances in Å follow each position.
Sites, in units of the cell vectors:
Pt 0.0826 0.1653 0.3424  2 Nb 2.71, 2 Pm 2.98
Pt 0.9174 0.8347 0.6576  2 Nb 2.71, 2 Pm 2.98
Pm 0.5871 0.1742 0.8085  6 Pt 2.98-3.29, 1 Nb 3.11
Pm 0.4129 0.8258 0.1915  6 Pt 2.98-3.29, 1 Nb 3.11
Nb 0.2784 0.5568 0.6947  2 Pt 2.71, 2 Nb 2.72
Nb 0.7216 0.4432 0.3053  2 Pt 2.71, 2 Nb 2.72

Values from the calculation:
Symmetry = C2/m, No. 12
Total magnetization = 0.000 μB/atom
DFT formation energy = -0.41 eV/atom

***

Copy entry 2 word for word.
DFT (PBE-GGA) results for crystalline Ga2ReAgH at its relaxed geometry.

Cell lengths 4.3737, 3.5037, 4.3737 Å; angles 90.00, 90.00, 90.00 degrees
Closest atoms and distances in Å follow each position.
Sites, in units of the cell vectors:
H 0.0000 0.0000 0.0000  2 Re 1.75
Ga 0.5000 0.0000 0.0000  2 H 2.19
Ga 0.0000 0.0000 0.5000  2 H 2.19
Ag 0.5000 0.5000 0.5000  8 Ga 2.80, 4 Re 3.09
Re 0.0000 0.5000 0.0000  2 H 1.75

Values from the calculation:
Symmetry = P4/mmm, No. 123
DFT total energy = -4.559 eV/atom
Total magnetization = 0.000 μB/atom